Material: MgZnSe2
Method: DFT, PBE
State: relaxed

Values from the calculation:
Density (g/cm³): 4.051
Spin magnetization (μB/f.u.): 0.0
Space-group type: P4/nmm (129)
E_form (uncorrected) (eV per atom): -0.419

abc: 4.505 4.505 10.004
angles: 90.00 90.00 90.00
Element x y z (fractional)
Mg1 0.250 0.250 0.123
Mg2 0.750 0.750 0.877
Zn1 0.250 0.250 0.611
Zn2 0.750 0.750 0.389
Se1 0.250 0.250 0.859
Se2 0.250 0.750 0.500
Se3 0.750 0.250 0.500
Se4 0.750 0.750 0.141